Material: SrPmAg2
Method: DFT, PBE
State: optimized geometry

- Formation energy: -26 kJ/mol of atoms
- M_tot: 0.00 μB per formula unit

abc: 3.8282 3.8282 7.6984
angles: 90.00 90.00 90.00
Last column: nearest neighbours and their distance in Å.
Space group P4/mmm (No. 123)
Asymmetric unit:
Sr (0.0000, 0.0000, 0.0000) [1 per cell]  8 Ag 3.48, 4 Sr 3.83, 2 Pm 3.85
Pm (0.0000, 0.0000, 0.5000) [1 per cell]  8 Ag 3.18
Ag (0.5000, 0.5000, 0.2839) [2 per cell]  4 Pm 3.18, 1 Ag 3.33, 4 Sr 3.48

=====

Material: Sr2PmAg6
Method: DFT, PBE
State: optimized geometry

- Formation energy: -25 kJ/mol of atoms
- M_tot: 0.00 μB per formula unit

abc: 8.4032 8.4032 3.7831
angles: 90.00 90.00 120.00
Last column: nearest neighbours and their distance in Å.
Space group P6/mmm (No. 191)
Asymmetric unit:
Sr (0.3333, 0.6667, 0.0000) [2 per cell]  12 Ag 3.39, 2 Sr 3.78
Pm (0.0000, 0.0000, 0.0000) [1 per cell]  12 Ag 3.36
Ag (0.0000, 0.3303, 0.5000) [6 per cell]  3 Ag 2.78-2.85

=====

Material: SrPmAg4
Method: DFT, PBE
State: optimized geometry

- Formation energy: -15 kJ/mol of atoms
- M_tot: 0.00 μB per formula unit

abc: 8.2897 8.2897 8.2897
angles: 90.00 90.00 90.00
Last column: nearest neighbours and their distance in Å.
Space group F-43m (No. 216)
Asymmetric unit:
Sr (0.0000, 0.0000, 0.0000) [4 per cell]  12 Ag 3.44, 4 Pm 3.59
Pm (0.2500, 0.2500, 0.7500) [4 per cell]  12 Ag 3.44, 4 Sr 3.59
Ag (0.1250, 0.1250, 0.3750) [16 per cell]  6 Ag 2.93

=====

Material: SrPmAg
Method: DFT, PBE
State: optimized geometry

- Formation energy: 7 kJ/mol of atoms
- M_tot: 0.00 μB per formula unit

abc: 5.1852 5.1852 4.3727
angles: 90.00 90.00 120.00
Last column: nearest neighbours and their distance in Å.
Space group P3m1 (No. 156)
Asymmetric unit:
Sr (0.0000, 0.0000, 0.0000) [1 per cell]  3 Ag 3.45, 6 Pm 3.66-3.75
Pm (0.3333, 0.6667, 0.5176) [1 per cell]  3 Ag 3.04
Ag (0.6667, 0.3333, 0.3906) [1 per cell]  3 Pm 3.04

=====

Material: SrPm2Ag3
Method: DFT, PBE
State: optimized geometry

- Formation energy: -26 kJ/mol of atoms
- M_tot: 0.00 μB per formula unit

abc: 3.7745 3.7745 11.5214
angles: 90.00 90.00 90.00
Last column: nearest neighbours and their distance in Å.
Space group P4/mmm (No. 123)
Asymmetric unit:
Sr (0.0000, 0.0000, 0.0000) [1 per cell]  8 Ag 3.45, 4 Sr 3.77
Pm (0.0000, 0.0000, 0.3371) [2 per cell]  8 Ag 3.17-3.26
Ag (0.5000, 0.5000, 0.1893) [2 per cell]  4 Pm 3.17, 4 Sr 3.45
Ag (0.5000, 0.5000, 0.5000) [1 per cell]  8 Pm 3.26, 2 Ag 3.58

=====

Material: SrPmAg2
Method: DFT, PBE
State: optimized geometry

- Formation energy: -22 kJ/mol of atoms
- M_tot: 0.00 μB per formula unit

abc: 7.6144 7.6144 7.6144
angles: 90.00 90.00 90.00
Last column: nearest neighbours and their distance in Å.
Space group Fm-3m (No. 225)
Asymmetric unit:
Sr (0.0000, 0.0000, 0.0000) [4 per cell]  8 Ag 3.30
Pm (0.0000, 0.0000, 0.5000) [4 per cell]  8 Ag 3.30
Ag (0.2500, 0.2500, 0.2500) [8 per cell]  4 Pm 3.30, 4 Sr 3.30

=====

Number 1: theoretical density 6.6 g cm⁻³. Number 2: theoretical density 6.9 g cm⁻³. Number 3: theoretical density 7.7 g cm⁻³. Number 4: theoretical density 5.6 g cm⁻³. Number 5: theoretical density 7.1 g cm⁻³. Number 6: theoretical density 6.7 g cm⁻³.